Computed, not measured: a geometry-optimized PrCd4Cu2 structure at the PBE level of DFT.

The space group is Cmmm (No. 65) and the conventional cell measures 4.334, 16.162 and 4.275 Å, with angles of 90.00, 90.00 and 90.00 degrees. The asymmetric unit holds Pr at (0.000, 0.000, 0.000), Cd at (0.000, 0.176, 0.500), Cd at (0.000, 0.322, 0.000) and Cu at (0.000, 0.427, 0.500).

The value obtained for the total energy is -2.529 eV/atom. As for the formation energy: -153.4 meV per atom. The value obtained for the magnetic moment is 0.0 μB/f.u.


Computed, not measured: a geometry-optimized CdRu7 structure at the PBE level of DFT.

The space group is Fm-3m (No. 225) and the conventional cell measures 7.762, 7.762 and 7.762 Å, with angles of 90.00, 90.00 and 90.00 degrees. The asymmetric unit holds Cd at (0.000, 0.000, 0.000), Ru at (0.000, 0.000, 0.500) and Ru at (0.000, 0.250, 0.250).

The value obtained for the total energy is -7.854 eV/atom. As for the formation energy: 376.6 meV per atom. The value obtained for the magnetic moment is 1.1 μB/f.u.


Computed, not measured: a geometry-optimized Li3ReH structure at the PBE level of DFT.

The space group is Pm-3m (No. 221) and the conventional cell measures 3.874, 3.874 and 3.874 Å, with angles of 90.00, 90.00 and 90.00 degrees. The asymmetric unit holds Li at (0.000, 0.000, 0.500), Re at (0.500, 0.500, 0.500) and H at (0.000, 0.000, 0.000).

The value obtained for the total energy is -3.595 eV/atom. As for the energy relative to the lowest polymorph listed for this composition: 0 meV/atom. The value obtained for the magnetic moment is 2.0 μB/f.u.


Question: Among the records above, which one has the lowest total energy?
Answer: CdRu7